## Li8Mg6Pd (GGA-PBE)

Data for a relaxed Li8Mg6Pd crystal.

Cell lengths 5.3391, 5.3391, 36.1903 Å; angles 90.00, 90.00, 120.00 degrees
Space group R-3 (No. 148, hexagonal axes)
Unique sites:
1 Li 0.0000 0.0000 0.1666 (multiplicity 6)
2 Li 0.0001 0.3341 0.3677 (multiplicity 18)
3 Mg 0.9998 0.3230 0.5623 (multiplicity 18)
4 Pd 0.0000 0.0000 0.5000 (multiplicity 3)

Output
The value obtained for the energy of formation from the pure elements is -0.10 eV per atom. The calculated volume is 893.4 Å³ per cell.